# Co2TcOs (PBE, relaxed)
# **Energy of formation from the pure elements**: 4.3 kJ/mol of atoms
# **Electronic total energy**: -71.26 eV per cell
# **E above lowest polymorph**: 0.00 kJ per mole of atoms
# **M_tot**: 0.000 μB per formula unit
# **D(E_F)**: 3.444 states/eV/f.u.
data_Co2TcOs
_cell_length_a 3.995
_cell_length_b 2.594
_cell_length_c 9.544
_cell_angle_alpha 90.00
_cell_angle_beta 90.00
_cell_angle_gamma 90.00
_space_group_name_H-M_alt 'A m m 2'
_space_group_IT_number 38
loop_
_space_group_symop_operation_xyz
'x,y,z'
'-x,-y,z'
'-x,y,z'
'x,-y,z'
'x,y+1/2,z+1/2'
'-x,-y+1/2,z+1/2'
'-x,y+1/2,z+1/2'
'x,-y+1/2,z+1/2'
loop_
_atom_site_label
_atom_site_type_symbol
_atom_site_fract_x
_atom_site_fract_y
_atom_site_fract_z
Co1 Co 0.000 0.000 0.000
Co2 Co 0.500 0.000 0.131
Tc1 Tc 0.500 0.000 0.396
Os1 Os 0.000 0.000 0.732

---

# Co2TcOs (PBE, relaxed)
# **Energy of formation from the pure elements**: 10.9 kJ/mol of atoms
# **Electronic total energy**: -141.42 eV per cell
# **E above lowest polymorph**: 6.66 kJ per mole of atoms
# **M_tot**: 0.509 μB per formula unit
# **D(E_F)**: 4.697 states/eV/f.u.
data_Co2TcOs
_cell_length_a 5.192
_cell_length_b 5.199
_cell_length_c 7.381
_cell_angle_alpha 90.00
_cell_angle_beta 90.00
_cell_angle_gamma 90.00
_space_group_name_H-M_alt 'F m m m'
_space_group_IT_number 69
_space_group_name_Hall '-F 2 2'
loop_
_atom_site_label
_atom_site_type_symbol
_atom_site_fract_x
_atom_site_fract_y
_atom_site_fract_z
Co1 Co 0.250 0.250 0.250
Tc1 Tc 0.000 0.000 0.000
Os1 Os 0.000 0.000 0.500

---

# CoTcOs (PBE, relaxed)
# **Energy of formation from the pure elements**: 9.1 kJ/mol of atoms
# **Electronic total energy**: -113.68 eV per cell
# **E above lowest polymorph**: 3.18 kJ per mole of atoms
# **M_tot**: 0.090 μB per formula unit
# **D(E_F)**: 3.539 states/eV/f.u.
data_CoTcOs
_cell_length_a 3.787
_cell_length_b 11.023
_cell_length_c 3.796
_cell_angle_alpha 90.00
_cell_angle_beta 90.00
_cell_angle_gamma 90.00
_space_group_name_H-M_alt 'C m c m'
_space_group_IT_number 63
_space_group_name_Hall '-C 2c 2'
loop_
_atom_site_label
_atom_site_type_symbol
_atom_site_fract_x
_atom_site_fract_y
_atom_site_fract_z
Co1 Co 0.000 0.083 0.250
Tc1 Tc 0.000 0.418 0.250
Os1 Os 0.000 0.247 0.750

---

What is the D(E_F) in the third record? 3.539 states/eV/f.u.